First-principles (PBE-GGA) data for a relaxed structure of Ac6InNi2Br3, as listed in Alexandria.

abc: 4.3348 9.8049 10.5490
angles: 106.13 101.86 90.00
Atoms (fractional coordinates):
Br 0.8389 0.1652 0.6778
Br 0.5000 0.5000 0.0000
Br 0.1611 0.8348 0.3222
Ac 0.6801 0.5547 0.3601
Ac 0.0198 0.2609 0.0395
Ac 0.6659 0.1318 0.3318
Ac 0.3199 0.4453 0.6399
Ac 0.3341 0.8682 0.6682
Ac 0.9802 0.7391 0.9605
Ni 0.8293 0.6571 0.6585
Ni 0.1707 0.3429 0.3415
In 0.5000 0.0000 0.0000

V, Å³/cell: 420.73
D(E_F), states/eV/f.u.: 7.40
Raw formation energy, eV per atom: -0.7959
Raw total energy, eV/atom: -4.4601



First-principles (PBE-GGA) data for a relaxed structure of Ac6InOs2Br3, as listed in Alexandria.

abc: 4.3705 9.7944 10.9010
angles: 107.05 101.56 90.00
Atoms (fractional coordinates):
Ac 0.0308 0.2691 0.0616
Ac 0.6841 0.5633 0.3683
Ac 0.6661 0.1358 0.3322
Ac 0.9692 0.7309 0.9384
Ac 0.3339 0.8642 0.6678
Ac 0.3159 0.4367 0.6317
Br 0.1715 0.8457 0.3431
Br 0.8285 0.1543 0.6569
Br 0.5000 0.5000 0.0000
Os 0.8310 0.6571 0.6619
Os 0.1690 0.3429 0.3381
In 0.5000 0.0000 0.0000

V, Å³/cell: 436.21
D(E_F), states/eV/f.u.: 6.47
Raw formation energy, eV per atom: -0.7681
Raw total energy, eV/atom: -5.3403



First-principles (PBE-GGA) data for a relaxed structure of AcInPbBr6, as listed in Alexandria.

abc: 7.3642 7.3642 14.1502
angles: 90.00 90.00 90.00
Atoms (fractional coordinates):
Br 0.7924 0.2076 0.8227
Br 0.2076 0.7924 0.8227
Br 0.2955 0.2955 0.6776
Br 0.7955 0.2045 0.1776
Br 0.3146 0.3146 0.0006
Br 0.1854 0.8146 0.5006
Br 0.7045 0.7045 0.6776
Br 0.8146 0.1854 0.5006
Br 0.7076 0.7076 0.3227
Br 0.6854 0.6854 0.0006
Br 0.2045 0.7955 0.1776
Br 0.2924 0.2924 0.3227
In 0.5000 0.5000 0.4998
In 0.0000 0.0000 0.9998
Ac 0.0000 0.0000 0.3323
Ac 0.5000 0.5000 0.8323
Pb 0.0000 0.0000 0.6662
Pb 0.5000 0.5000 0.1661

V, Å³/cell: 767.39
D(E_F), states/eV/f.u.: 0.00
Raw formation energy, eV per atom: -1.3343
Raw total energy, eV/atom: -3.6224



First-principles (PBE-GGA) data for a relaxed structure of AcInPtBr, as listed in Alexandria.

abc: 4.5873 4.5873 14.3184
angles: 80.78 80.78 60.00
Atoms (fractional coordinates):
Pt 0.3764 0.3764 0.8709
Pt 0.6236 0.6236 0.1291
Br 0.2059 0.2059 0.3822
Br 0.7941 0.7941 0.6178
Ac 0.0829 0.0829 0.7514
Ac 0.9171 0.9171 0.2486
In 0.3101 0.3101 0.0696
In 0.6899 0.6899 0.9304

V, Å³/cell: 256.44
D(E_F), states/eV/f.u.: 2.76
Raw formation energy, eV per atom: -1.1953
Raw total energy, eV/atom: -4.8354



First-principles (PBE-GGA) data for a relaxed structure of RbAcIn2Br6, as listed in Alexandria.

abc: 8.3841 8.3837 8.7459
angles: 61.32 61.31 59.92
Atoms (fractional coordinates):
In 0.0139 0.0141 0.9583
In 0.5213 0.5212 0.4368
Br 0.5837 0.2149 0.2441
Br 0.9570 0.5844 0.2440
Br 0.1444 0.3984 0.7602
Br 0.6975 0.1435 0.7606
Br 0.3984 0.6970 0.7600
Br 0.2146 0.9571 0.2445
Rb 0.8099 0.8101 0.5697
Ac 0.3209 0.3208 0.0371

V, Å³/cell: 442.86
D(E_F), states/eV/f.u.: 0.00
Raw formation energy, eV per atom: -1.4308
Raw total energy, eV/atom: -3.4898



First-principles (PBE-GGA) data for a relaxed structure of Ac6InRh2Br3, as listed in Alexandria.

abc: 4.3797 9.8296 10.7731
angles: 107.59 101.73 90.00
Atoms (fractional coordinates):
Ac 0.9755 0.7375 0.9510
Ac 0.0245 0.2625 0.0490
Ac 0.6824 0.5600 0.3649
Ac 0.3176 0.4400 0.6351
Ac 0.3347 0.8685 0.6693
Ac 0.6653 0.1315 0.3307
Br 0.8343 0.1529 0.6685
Br 0.1657 0.8471 0.3315
Br 0.5000 0.5000 0.0000
Rh 0.8290 0.6550 0.6581
Rh 0.1710 0.3450 0.3419
In 0.5000 0.0000 0.0000

V, Å³/cell: 431.94
D(E_F), states/eV/f.u.: 6.66
Raw formation energy, eV per atom: -1.0170
Raw total energy, eV/atom: -4.9429



First-principles (PBE-GGA) data for a relaxed structure of Ac6InRu2Br3, as listed in Alexandria.

abc: 4.3145 9.8257 10.9768
angles: 107.33 101.33 90.00
Atoms (fractional coordinates):
Ac 0.9666 0.7286 0.9331
Ac 0.0334 0.2714 0.0669
Ac 0.3342 0.8651 0.6685
Ac 0.3151 0.4335 0.6302
Ac 0.6849 0.5665 0.3698
Ac 0.6658 0.1349 0.3315
Br 0.5000 0.5000 0.0000
Br 0.1727 0.8461 0.3455
Br 0.8273 0.1539 0.6545
Ru 0.8301 0.6558 0.6603
Ru 0.1699 0.3442 0.3397
In 0.5000 0.0000 0.0000

V, Å³/cell: 434.70
D(E_F), states/eV/f.u.: 6.13
Raw formation energy, eV per atom: -0.8390
Raw total energy, eV/atom: -5.0856



First-principles (PBE-GGA) data for a relaxed structure of AcInSbBr, as listed in Alexandria.

abc: 5.6459 5.6459 5.6459
angles: 60.00 60.00 60.00
Atoms (fractional coordinates):
Ac 0.0000 0.0000 0.0000
In 0.5000 0.5000 0.5000
Br 0.7500 0.7500 0.7500
Sb 0.2500 0.2500 0.2500

V, Å³/cell: 127.25
D(E_F), states/eV/f.u.: 0.52
Raw formation energy, eV per atom: -0.8495
Raw total energy, eV/atom: -4.0101



First-principles (PBE-GGA) data for a relaxed structure of Ac4InSiBr2, as listed in Alexandria.

abc: 4.6328 8.3295 7.9126
angles: 109.89 90.00 90.00
Atoms (fractional coordinates):
Br 0.5000 0.0000 0.5000
Br 0.0000 0.5000 0.5000
Ac 0.0000 0.7617 0.2346
Ac 0.5000 0.7685 0.7759
Ac 0.0000 0.2383 0.7654
Ac 0.5000 0.2315 0.2241
In 0.5000 0.5000 0.0000
Si 0.0000 0.0000 0.0000

V, Å³/cell: 287.13
D(E_F), states/eV/f.u.: 3.85
Raw formation energy, eV per atom: -0.9039
Raw total energy, eV/atom: -4.3965



First-principles (PBE-GGA) data for a relaxed structure of Ac3Ir2Br2, as listed in Alexandria.

abc: 4.3107 7.5630 8.2377
angles: 102.51 90.01 106.56
Atoms (fractional coordinates):
Br 0.8657 0.7314 0.6226
Br 0.1343 0.2686 0.3774
Ac 0.2348 0.4697 0.7875
Ac 0.7652 0.5303 0.2125
Ac 0.0000 0.0000 0.0000
Ir 0.3794 0.7587 0.0902
Ir 0.6206 0.2413 0.9098

V, Å³/cell: 250.76
D(E_F), states/eV/f.u.: 2.01
Raw formation energy, eV per atom: -1.0056
Raw total energy, eV/atom: -5.7760



First-principles (PBE-GGA) data for a relaxed structure of Ac6Ir3Br, as listed in Alexandria.

abc: 4.3410 12.2703 15.0218
angles: 114.89 90.00 90.00
Atoms (fractional coordinates):
Ac 0.2500 0.4589 0.7209
Ac 0.7500 0.1650 0.5788
Ac 0.7500 0.1372 0.0817
Ac 0.7500 0.0243 0.2791
Ac 0.2500 0.3509 0.4216
Ac 0.2500 0.9757 0.7209
Ac 0.2500 0.8350 0.4212
Ac 0.7500 0.5411 0.2791
Ac 0.2500 0.7363 0.1283
Ac 0.2500 0.8628 0.9183
Ac 0.7500 0.2637 0.8717
Ac 0.7500 0.6491 0.5784
Ir 0.7500 0.0007 0.8657
Ir 0.7500 0.7808 0.2727
Ir 0.2500 0.9993 0.1343
Ir 0.2500 0.5982 0.4294
Ir 0.7500 0.4018 0.5706
Ir 0.2500 0.2192 0.7273
Br 0.2500 0.3849 0.0758
Br 0.7500 0.6151 0.9242

V, Å³/cell: 725.82
D(E_F), states/eV/f.u.: 6.92
Raw formation energy, eV per atom: -0.7606
Raw total energy, eV/atom: -6.0513



First-principles (PBE-GGA) data for a relaxed structure of AcIrBr, as listed in Alexandria.

abc: 4.4490 4.4447 13.1498
angles: 63.00 80.26 59.97
Atoms (fractional coordinates):
Ir 0.6662 0.1702 0.4974
Ir 0.3338 0.8298 0.5026
Br 0.7445 0.6694 0.8416
Br 0.2555 0.3306 0.1584
Ac 0.0393 0.2495 0.6720
Ac 0.9607 0.7505 0.3280

V, Å³/cell: 200.01
D(E_F), states/eV/f.u.: 1.33
Raw formation energy, eV per atom: -1.3121
Raw total energy, eV/atom: -6.1929



First-principles (PBE-GGA) data for a relaxed structure of Ac4Ir2Br5, as listed in Alexandria.

abc: 4.3647 8.8712 12.7688
angles: 88.81 99.84 90.00
Atoms (fractional coordinates):
Ir 0.5517 0.5041 0.1033
Ir 0.4483 0.4959 0.8967
Ac 0.9803 0.2890 0.9606
Ac 0.0197 0.7110 0.0394
Ac 0.6587 0.5577 0.3173
Ac 0.3413 0.4423 0.6827
Br 0.1447 0.8133 0.2894
Br 0.2079 0.3428 0.4157
Br 0.7921 0.6572 0.5843
Br 0.8553 0.1867 0.7106
Br 0.5000 0.0000 0.0000

V, Å³/cell: 487.02
D(E_F), states/eV/f.u.: 3.69
Raw formation energy, eV per atom: -1.3084
Raw total energy, eV/atom: -5.1739



First-principles (PBE-GGA) data for a relaxed structure of AcLaIrBr, as listed in Alexandria.

abc: 4.2789 4.2789 8.5466
angles: 90.01 104.50 120.00
Atoms (fractional coordinates):
Ac 0.5100 0.1528 0.6784
Ir 0.3115 0.5536 0.8804
Br 0.9567 0.3766 0.3481
La 0.0997 0.9478 0.0627

V, Å³/cell: 129.73
D(E_F), states/eV/f.u.: 1.21
Raw formation energy, eV per atom: -1.1997
Raw total energy, eV/atom: -6.0922



First-principles (PBE-GGA) data for a relaxed structure of Ac2LaIr2Br2, as listed in Alexandria.

abc: 5.3497 5.3497 9.0629
angles: 107.17 107.17 90.00
Atoms (fractional coordinates):
Br 0.8038 0.8038 0.6076
Br 0.1962 0.1962 0.3924
La 0.0000 0.0000 0.0000
Ac 0.6116 0.6116 0.2233
Ac 0.3884 0.3884 0.7767
Ir 0.5000 0.0000 0.0000
Ir 0.0000 0.5000 0.0000

V, Å³/cell: 235.70
D(E_F), states/eV/f.u.: 5.02
Raw formation energy, eV per atom: -0.9277
Raw total energy, eV/atom: -5.8152



First-principles (PBE-GGA) data for a relaxed structure of Ac8Ir3Br3N, as listed in Alexandria.

abc: 8.5855 8.6012 9.5801
angles: 116.64 90.04 119.84
Atoms (fractional coordinates):
Ac 0.7322 0.4640 0.6965
Ac 0.7797 0.0345 0.3141
Ac 0.2242 0.4483 0.6889
Ac 0.2678 0.5360 0.3035
Ac 0.2203 0.9655 0.6859
Ac 0.7758 0.5517 0.3111
Ac 0.2565 0.0350 0.3132
Ac 0.7435 0.9650 0.6868
Br 0.0000 0.0000 0.0000
Br 0.0000 0.5000 0.0000
Br 0.5000 0.5000 0.0000
Ir 0.0000 0.5000 0.5000
Ir 0.5000 0.5000 0.5000
Ir 0.5000 0.0000 0.5000
N 0.0000 0.0000 0.5000

V, Å³/cell: 525.14
D(E_F), states/eV/f.u.: 8.69
Raw formation energy, eV per atom: -0.9966
Raw total energy, eV/atom: -5.8496



First-principles (PBE-GGA) data for a relaxed structure of Ac6Ir2Br2N, as listed in Alexandria.

abc: 7.3379 7.3379 8.3218
angles: 99.01 99.01 118.66
Atoms (fractional coordinates):
Ac 0.2646 0.2646 0.2990
Ac 0.0671 0.3742 0.6919
Ac 0.6258 0.9329 0.3081
Ac 0.3742 0.0671 0.6919
Ac 0.7354 0.7354 0.7010
Ac 0.9329 0.6258 0.3081
Ir 0.6698 0.3302 0.5000
Ir 0.3302 0.6698 0.5000
N 0.0000 0.0000 0.5000
Br 0.8231 0.1769 0.0000
Br 0.1769 0.8231 0.0000

V, Å³/cell: 374.22
D(E_F), states/eV/f.u.: 6.82
Raw formation energy, eV per atom: -0.9799
Raw total energy, eV/atom: -5.8930



First-principles (PBE-GGA) data for a relaxed structure of AcNdIrBr, as listed in Alexandria.

abc: 4.2602 4.2601 8.4771
angles: 90.01 104.56 120.00
Atoms (fractional coordinates):
Ir 0.3116 0.5537 0.8807
Ac 0.5114 0.1536 0.6807
Nd 0.1004 0.9482 0.0638
Br 0.9544 0.3753 0.3445

V, Å³/cell: 127.50
D(E_F), states/eV/f.u.: 0.76
Raw formation energy, eV per atom: -1.1244
Raw total energy, eV/atom: -5.9769



First-principles (PBE-GGA) data for a relaxed structure of Ac8NiIr3Br3, as listed in Alexandria.

abc: 8.7414 8.7379 9.5644
angles: 117.20 90.00 120.01
Atoms (fractional coordinates):
Ir 0.5000 0.0000 0.5000
Ir 0.5000 0.5000 0.5000
Ir 0.0000 0.5000 0.5000
Ac 0.7677 0.5354 0.3057
Ac 0.7329 0.4657 0.6974
Ac 0.7673 0.0371 0.3053
Ac 0.7302 0.9629 0.6947
Ac 0.2327 0.9629 0.6947
Ac 0.2323 0.4646 0.6943
Ac 0.2698 0.0371 0.3053
Ac 0.2671 0.5343 0.3026
Br 0.0000 0.0000 0.0000
Br 0.5000 0.5000 0.0000
Br 0.0000 0.5000 0.0000
Ni 0.0000 0.0000 0.5000

V, Å³/cell: 537.27
D(E_F), states/eV/f.u.: 6.87
Raw formation energy, eV per atom: -0.9773
Raw total energy, eV/atom: -5.6607



First-principles (PBE-GGA) data for a relaxed structure of Ac6NiIr2Br3, as listed in Alexandria.

abc: 7.5351 7.5351 8.6371
angles: 98.36 98.36 120.01
Atoms (fractional coordinates):
Ac 0.0644 0.3986 0.1932
Ac 0.3986 0.0644 0.1932
Ac 0.7303 0.7303 0.1931
Ac 0.2697 0.2697 0.8069
Ac 0.9356 0.6014 0.8068
Ac 0.6014 0.9356 0.8068
Ir 0.6667 0.3333 0.0000
Ir 0.3333 0.6667 0.0000
Br 0.5000 0.5000 0.5000
Br 0.1667 0.8333 0.5000
Br 0.8333 0.1667 0.5000
Ni 0.0000 0.0000 0.0000

V, Å³/cell: 406.31
D(E_F), states/eV/f.u.: 4.84
Raw formation energy, eV per atom: -1.0875
Raw total energy, eV/atom: -5.5185



First-principles (PBE-GGA) data for a relaxed structure of Ac4NiIrBr2, as listed in Alexandria.

abc: 4.3397 7.5293 8.6464
angles: 107.10 90.00 90.00
Atoms (fractional coordinates):
Ir 0.5000 0.5000 0.0000
Br 0.0000 0.5000 0.5000
Br 0.5000 0.0000 0.5000
Ac 0.0000 0.7304 0.1940
Ac 0.5000 0.2300 0.1912
Ac 0.5000 0.7700 0.8088
Ac 0.0000 0.2696 0.8060
Ni 0.0000 0.0000 0.0000

V, Å³/cell: 270.03
D(E_F), states/eV/f.u.: 3.50
Raw formation energy, eV per atom: -1.0296
Raw total energy, eV/atom: -5.3323



First-principles (PBE-GGA) data for a relaxed structure of Ac8Ir3Br4O, as listed in Alexandria.

abc: 8.5167 9.6669 8.6058
angles: 116.72 119.66 90.00
Atoms (fractional coordinates):
Ac 0.2371 0.6992 0.4742
Ac 0.7782 0.3131 0.0349
Ac 0.7432 0.6869 0.9651
Ac 0.2687 0.3066 0.5375
Ac 0.7313 0.6934 0.4625
Ac 0.7629 0.3008 0.5258
Ac 0.2568 0.3131 0.0349
Ac 0.2218 0.6869 0.9651
Ir 0.5000 0.5000 0.5000
Ir 0.5000 0.5000 0.0000
Ir 0.0000 0.5000 0.5000
Br 0.5000 0.0000 0.5000
Br 0.5000 0.0000 0.0000
Br 0.0000 0.0000 0.0000
Br 0.0000 0.0000 0.5000
O 0.0000 0.5000 0.0000

V, Å³/cell: 526.88
D(E_F), states/eV/f.u.: 7.16
Raw formation energy, eV per atom: -1.3228
Raw total energy, eV/atom: -5.7666